# 1
# TaRuW2

A PBEsol-optimized structure of TaRuW2 (SCAN, Alexandria).

Lattice parameters (Å, degrees): 2.7918 2.7918 9.4867 81.54 81.54 60.00
Positions (direct):
1 W 0.7548 0.7548 0.7356
2 W 0.0020 0.0020 0.9941
3 Ta 0.2460 0.2460 0.2619
4 Ru 0.4972 0.4972 0.5084

Properties
energy above the most stable polymorph in this dataset = 0.0227 eV per atom
formation enthalpy at 0 K = 255 meV/atom
space-group type = No. 160
total magnetization = 0.00 μB/f.u.

***

# 2
# InGaHg2

A PBEsol-optimized structure of InGaHg2 (SCAN, Alexandria).

Lattice parameters (Å, degrees): 4.2162 4.2162 10.8457 101.21 101.21 90.00
Positions (direct):
1 Hg 0.1250 0.1307 0.7500
2 Hg 0.3807 0.8750 0.2500
3 Hg 0.8693 0.3750 0.2500
4 Hg 0.6250 0.6193 0.7500
5 In 0.0000 0.0000 0.0000
6 In 0.2500 0.7500 0.5000
7 Ga 0.5000 0.5000 0.0000
8 Ga 0.7500 0.2500 0.5000

Properties
formation enthalpy at 0 K = 77 meV/atom
space-group type = No. 122
total magnetization = 0.00 μB/f.u.

***

# 3
# TaInRh

A PBEsol-optimized structure of TaInRh (SCAN, Alexandria).

Lattice parameters (Å, degrees): 2.8572 4.5055 4.5055 120.00 90.00 90.00
Positions (direct):
1 Ta 0.3330 0.6667 0.3333
2 Rh 0.8343 0.3333 0.6667
3 In 0.8327 0.0000 0.0000

Properties
formation enthalpy at 0 K = -169 meV/atom
space-group type = No. 187
total magnetization = 0.00 μB/f.u.

***

# 4
# K3Nb4Mo4P12O48

A PBEsol-optimized structure of K3Nb4Mo4P12O48 (SCAN, Alexandria).

Lattice parameters (Å, degrees): 8.9238 9.1813 12.4772 90.00 90.00 90.17
Last column: magnetic moment on the atom in μB.
Positions (direct):
1 O 0.3607 0.5859 0.0000  0.00
2 O 0.6143 0.2987 0.1339  0.03
3 O 0.3693 0.7085 0.3717  0.00
4 O 0.6873 0.0364 0.8133  0.01
5 O 0.6281 0.2090 0.3721  0.01
6 O 0.2062 0.5129 0.5000  -0.10
7 O 0.5769 0.6099 0.1314  0.03
8 O 0.1235 0.3455 0.3158  0.00
9 O 0.2149 0.9766 0.0000  -0.17
10 O 0.4409 0.4088 0.6303  0.01
11 O 0.1270 0.1544 0.8284  0.03
12 O 0.9280 0.1499 0.3159  0.00
13 O 0.7914 0.0123 0.5000  -0.09
14 O 0.9323 0.3420 0.1680  0.03
15 O 0.2963 0.9621 0.3075  0.01
16 O 0.9323 0.3420 0.8320  0.03
17 O 0.4222 0.1094 0.1259  0.03
18 O 0.6451 0.0919 0.0000  0.00
19 O 0.3076 0.5394 0.1863  0.01
20 O 0.4409 0.4088 0.3697  0.01
21 O 0.1235 0.3455 0.6842  0.00
22 O 0.0651 0.6504 0.6785  0.01
23 O 0.6143 0.2987 0.8661  0.03
24 O 0.7110 0.4630 0.6889  0.01
25 O 0.2963 0.9621 0.6925  0.01
26 O 0.6281 0.2090 0.6279  0.01
27 O 0.3844 0.7990 0.8710  0.03
28 O 0.0668 0.8449 0.8270  0.04
29 O 0.1270 0.1544 0.1716  0.03
30 O 0.3408 0.9206 0.5000  0.00
31 O 0.5611 0.9055 0.3731  0.00
32 O 0.6579 0.4228 0.5000  0.00
33 O 0.9280 0.1499 0.6841  0.00
34 O 0.5769 0.6099 0.8686  0.03
35 O 0.5611 0.9055 0.6269  0.00
36 O 0.4222 0.1094 0.8741  0.03
37 O 0.3693 0.7085 0.6283  0.00
38 O 0.0668 0.8449 0.1730  0.04
39 O 0.3076 0.5394 0.8137  0.01
40 O 0.7796 0.4765 0.0000  -0.15
41 O 0.8757 0.6539 0.1698  0.03
42 O 0.8705 0.8390 0.6807  0.01
43 O 0.6873 0.0364 0.1867  0.01
44 O 0.7110 0.4630 0.3111  0.01
45 O 0.8757 0.6539 0.8302  0.03
46 O 0.3844 0.7990 0.1290  0.03
47 O 0.0651 0.6504 0.3215  0.01
48 O 0.8705 0.8390 0.3193  0.01
49 P 0.6061 0.3723 0.6192  0.01
50 P 0.9722 0.7468 0.7553  0.01
51 P 0.4100 0.6363 0.8807  0.01
52 P 0.5895 0.1363 0.8808  0.01
53 P 0.4100 0.6363 0.1193  0.01
54 P 0.6061 0.3723 0.3808  0.01
55 P 0.5895 0.1363 0.1192  0.01
56 P 0.9722 0.7468 0.2447  0.01
57 P 0.0260 0.2470 0.7569  0.01
58 P 0.3937 0.8722 0.6182  0.01
59 P 0.3937 0.8722 0.3818  0.01
60 P 0.0260 0.2470 0.2431  0.01
61 Nb 0.2466 0.5209 0.3503  0.64
62 Nb 0.7523 0.0229 0.6496  0.61
63 Nb 0.2466 0.5209 0.6497  0.64
64 Nb 0.7523 0.0229 0.3504  0.61
65 K 0.7763 0.8189 0.0000  0.00
66 K 0.2159 0.3204 0.0000  0.00
67 K 0.8719 0.6483 0.5000  0.00
68 Mo 0.2466 0.9715 0.1459  1.82
69 Mo 0.7533 0.4711 0.8541  1.85
70 Mo 0.7533 0.4711 0.1459  1.85
71 Mo 0.2466 0.9715 0.8541  1.82

Properties
DFT total energy = -12.62 eV/atom
space-group type = No. 6
total magnetization = 11.01 μB/f.u.

***

# 5
# YTlIn2

A PBEsol-optimized structure of YTlIn2 (SCAN, Alexandria).

Lattice parameters (Å, degrees): 3.3692 3.3692 10.0843 90.00 90.00 113.28
Positions (direct):
1 Tl 0.0000 0.0000 0.5042
2 In 0.0000 0.0000 0.9955
3 In 0.5000 0.5000 0.7530
4 Y 0.5000 0.5000 0.2473

Properties
formation enthalpy at 0 K = -86 meV/atom
space-group type = No. 35
total magnetization = 0.00 μB/f.u.

***

# 6
# CdNiRu2

A PBEsol-optimized structure of CdNiRu2 (SCAN, Alexandria).

Lattice parameters (Å, degrees): 2.7150 4.5792 4.8032 98.98 90.00 107.24
Positions (direct):
1 Ni 0.7441 0.4881 0.2449
2 Ru 0.2573 0.5147 0.7993
3 Ru 0.0016 0.0031 0.9788
4 Cd 0.4970 0.9941 0.4769

Properties
formation enthalpy at 0 K = 329 meV/atom
space-group type = No. 8
total magnetization = 0.00 μB/f.u.

***

# 7
# Re2NiBr

A PBEsol-optimized structure of Re2NiBr (SCAN, Alexandria).

Lattice parameters (Å, degrees): 3.6966 3.6966 4.3254 90.00 90.00 90.00
Positions (direct):
1 Re 0.0000 0.5000 0.0000
2 Re 0.5000 0.0000 0.0000
3 Ni 0.0000 0.0000 0.5000
4 Br 0.5000 0.5000 0.5000

Properties
energy above the most stable polymorph in this dataset = 0.8926 eV per atom
space-group type = No. 123
total magnetization = 0.00 μB/f.u.

***

# 8
# AgBr2

A PBEsol-optimized structure of AgBr2 (SCAN, Alexandria).

Lattice parameters (Å, degrees): 3.7866 6.4648 6.9252 90.00 90.00 107.03
Positions (direct):
1 Ag 0.8093 0.6186 0.7500
2 Ag 0.1907 0.3814 0.2500
3 Br 0.5520 0.1040 0.2500
4 Br 0.1680 0.3359 0.7500
5 Br 0.4480 0.8960 0.7500
6 Br 0.8320 0.6641 0.2500

Properties
DFT total energy = -23.67 eV/atom
space-group type = No. 63
total magnetization = 0.03 μB/f.u.